A plane-wave DFT calculation with PBE-GGA was carried out for a relaxed structure of Al4SiNi.

Calculated values
For the density of states at the Fermi level, the calculation gives 0.518 states/eV per atom. The value obtained for the total DFT energy (no corrections) is -52.146 eV per cell. The size of the total moment is 0.000 μB/f.u.

CIF file:
```
data_Al4SiNi
_cell_length_a 9.1750
_cell_length_b 2.8918
_cell_length_c 7.0553
_cell_angle_alpha 90.00
_cell_angle_beta 90.00
_cell_angle_gamma 90.00
_space_group_name_H-M_alt 'P m m a'
_space_group_IT_number 51
loop_
_space_group_symop_operation_xyz
'x,y,z'
'-x,-y,-z'
'-x+1/2,-y,z'
'x+1/2,y,-z'
'x+1/2,-y,-z'
'-x+1/2,y,z'
'-x,y,-z'
'x,-y,z'
loop_
_atom_site_label
_atom_site_fract_x
_atom_site_fract_y
_atom_site_fract_z
Al1 0.0000 0.0000 0.0000
Al2 0.0579 0.5000 0.3282
Al3 0.2500 0.5000 0.7712
Si1 0.2500 0.0000 0.1229
Ni1 0.2500 0.0000 0.4752
```

---

A plane-wave DFT calculation with PBE-GGA was carried out for a relaxed structure of AlSiNi6.

Calculated values
For the density of states at the Fermi level, the calculation gives 1.521 states/eV per atom. The value obtained for the total DFT energy (no corrections) is -42.889 eV per cell. The size of the total moment is 0.853 μB/f.u.

CIF file:
```
data_AlSiNi6
_cell_length_a 3.2204
_cell_length_b 3.2204
_cell_length_c 9.8481
_cell_angle_alpha 90.00
_cell_angle_beta 90.00
_cell_angle_gamma 90.00
_space_group_name_H-M_alt 'P 4/m m m'
_space_group_IT_number 123
_space_group_name_Hall '-P 4 2'
loop_
_atom_site_label
_atom_site_fract_x
_atom_site_fract_y
_atom_site_fract_z
Al1 0.0000 0.0000 0.0000
Si1 0.0000 0.0000 0.5000
Ni1 0.0000 0.5000 0.1906
Ni2 0.5000 0.5000 0.3823
```

---

A plane-wave DFT calculation with PBE-GGA was carried out for a relaxed structure of Al3SiNi2.

Calculated values
For the density of states at the Fermi level, the calculation gives 0.510 states/eV per atom. The value obtained for the total DFT energy (no corrections) is -28.210 eV per cell. The size of the total moment is 0.000 μB/f.u.

CIF file:
```
data_Al3SiNi2
_cell_length_a 5.2033
_cell_length_b 5.2033
_cell_length_c 3.8703
_cell_angle_alpha 90.00
_cell_angle_beta 90.00
_cell_angle_gamma 120.00
_space_group_name_H-M_alt 'P 6/m m m'
_space_group_IT_number 191
_space_group_name_Hall '-P 6 2'
loop_
_atom_site_label
_atom_site_fract_x
_atom_site_fract_y
_atom_site_fract_z
Al1 0.0000 0.5000 0.0000
Si1 0.0000 0.0000 0.5000
Ni1 0.3333 0.6667 0.5000
```

---

Q: Which value of size of the total moment does entry 3 give?
A: 0.000 μB/f.u.

---

Q: Look up the total DFT energy (no corrections) of the first one.
A: -52.146 eV per cell

---

Q: Which value of total DFT energy (no corrections) does entry 3 give?
A: -28.210 eV per cell

---

What did the second record say?
A plane-wave DFT calculation with PBE-GGA was carried out for a relaxed structure of AlSiNi6.

Calculated values
For the density of states at the Fermi level, the calculation gives 1.521 states/eV per atom. The value obtained for the total DFT energy (no corrections) is -42.889 eV per cell. The size of the total moment is 0.853 μB/f.u.

CIF file:
```
data_AlSiNi6
_cell_length_a 3.2204
_cell_length_b 3.2204
_cell_length_c 9.8481
_cell_angle_alpha 90.00
_cell_angle_beta 90.00
_cell_angle_gamma 90.00
_space_group_name_H-M_alt 'P 4/m m m'
_space_group_IT_number 123
_space_group_name_Hall '-P 4 2'
loop_
_atom_site_label
_atom_site_fract_x
_atom_site_fract_y
_atom_site_fract_z
Al1 0.0000 0.0000 0.0000
Si1 0.0000 0.0000 0.5000
Ni1 0.0000 0.5000 0.1906
Ni2 0.5000 0.5000 0.3823
```